Entry 1:
Density functional theory data (PBE) for P2OsSeO after structural relaxation.

a b c (Å): 4.744 4.744 3.724
angles (deg): 90.00 90.00 90.00
Space group P4/mmm (No. 123)
Unique sites:
P (0.000, 0.500, 0.000)
Os (0.000, 0.000, 0.000)
Se (0.500, 0.500, 0.500)
O (0.000, 0.000, 0.500)

Results
E above lowest polymorph = 0.000 eV per atom
calculated total energy = -5.96 eV per atom
ΔE_f (raw) = 142.3 meV/atom
calculated volume = 83.8 Å³ per cell
calculated density = 6.88 Mg/m³

---

Entry 2:
Density functional theory data (PBE) for SiPOsO2 after structural relaxation.

a b c (Å): 3.301 3.301 7.809
angles (deg): 90.00 90.00 90.00
Space group P4/mmm (No. 123)
Unique sites:
Si (0.000, 0.000, 0.000)
P (0.000, 0.000, 0.500)
Os (0.500, 0.500, 0.500)
O (0.000, 0.500, 0.000)

Results
E above lowest polymorph = 0.000 eV per atom
calculated total energy = -6.93 eV per atom
ΔE_f (raw) = -538.8 meV/atom
calculated volume = 85.1 Å³ per cell
calculated density = 5.49 Mg/m³

---

Entry 3:
Density functional theory data (PBE) for SiPOsO2 after structural relaxation.

a b c (Å): 3.754 3.754 5.213
angles (deg): 90.00 90.00 90.00
Space group P4/mmm (No. 123)
Unique sites:
Si (0.000, 0.000, 0.000)
P (0.500, 0.500, 0.000)
Os (0.500, 0.500, 0.500)
O (0.000, 0.500, 0.500)

Results
E above lowest polymorph = 0.377 eV per atom
calculated total energy = -6.56 eV per atom
ΔE_f (raw) = -161.4 meV/atom
calculated volume = 73.4 Å³ per cell
calculated density = 6.36 Mg/m³